Material: Ca2BPbAu
Method: DFT, PBE-GGA
State: optimized geometry

**Density of states at the Fermi level**: 2.1 states/eV/cell
**Magnetization**: 0.000 μB per formula unit
**Total DFT energy (no corrections)**: -2.85 eV/atom
**DFT formation energy**: 0.69 eV/atom

Structure (CIF):
```
data_Ca2BPbAu
_chemical_formula_sum 'Ca2 B1 Pb1 Au1'
_space_group_name_H-M_alt 'P 4/m m m'
_space_group_IT_number 123
_space_group_name_Hall '-P 4 2'
_cell_length_a 5.6446
_cell_length_b 5.6446
_cell_length_c 5.3046
_cell_angle_alpha 90.00
_cell_angle_beta 90.00
_cell_angle_gamma 90.00
loop_
_atom_site_label
_atom_site_fract_x
_atom_site_fract_y
_atom_site_fract_z
Ca1 0.0000 0.5000 0.0000
B1 0.0000 0.0000 0.5000
Pb1 0.5000 0.5000 0.5000
Au1 0.5000 0.5000 0.0000
```